The following is a DFT calculation (PBE) of a relaxed structure of PmPrNi2P2.

POSCAR file:
```
PmPrNi2P2
1.0
3.961 0.000 0.000
-1.981 3.431 0.000
0.000 0.000 8.126
Pm Pr Ni P
1 1 2 2
Cartesian
0.000 0.000 0.000
0.000 0.000 4.063
0.000 2.287 2.016
1.981 1.144 6.111
0.000 2.287 6.137
1.981 1.144 1.990
```

Properties
- symmetry = P-3m1, No. 164
- DFT formation energy (eV per atom) = -1.16
- uncorrected energy (eV/atom) = -6.48
- crystal system = trigonal